[1]
The following is a DFT calculation (PBE) of a geometry-optimized Pr5Er3 structure.

Values from the calculation:
- ΔH_f (0 K) (kJ/mol of formula units) = 20
- space group = P4/mmm
- ΔE to the lowest computed polymorph (meV/atom) = 9

a b c (Å): 3.654 3.654 20.434
angles (deg): 90.00 90.00 90.00
Sites, in units of the cell vectors:
Pr 0.000 0.000 0.000
Pr 0.000 0.000 0.247
Pr 0.000 0.000 0.753
Pr 0.500 0.500 0.376
Pr 0.500 0.500 0.624
Er 0.000 0.000 0.500
Er 0.500 0.500 0.122
Er 0.500 0.500 0.878



[2]
The following is a DFT calculation (PBE) of a geometry-optimized Mg6Zn5Pt structure.

Values from the calculation:
- ΔH_f (0 K) (kJ/mol of formula units) = -278
- space group = P2/m

a b c (Å): 4.702 6.342 7.385
angles (deg): 90.00 107.89 90.00
Sites, in units of the cell vectors:
Mg 0.000 0.242 0.000
Mg 0.000 0.758 0.000
Mg 0.339 0.245 0.675
Mg 0.339 0.755 0.675
Mg 0.661 0.245 0.325
Mg 0.661 0.755 0.325
Zn 0.166 0.000 0.336
Zn 0.168 0.500 0.341
Zn 0.500 0.500 0.000
Zn 0.832 0.500 0.659
Zn 0.834 0.000 0.664
Pt 0.500 0.000 0.000



[3]
The following is a DFT calculation (PBE) of a geometry-optimized SbOs2Br structure.

Values from the calculation:
- E_form (uncorrected) (eV/atom) = 1.25
- space group = P2/m
- ΔE to the lowest computed polymorph (meV/atom) = 821

a b c (Å): 3.074 4.550 5.161
angles (deg): 90.00 92.49 90.00
Sites, in units of the cell vectors:
Sb 0.000 0.000 0.000
Os 0.274 0.500 0.721
Os 0.726 0.500 0.279
Br 0.500 0.000 0.500



[4]
The following is a DFT calculation (PBE) of a geometry-optimized ErWN structure.

Values from the calculation:
- E_form (uncorrected) (eV/atom) = -0.13
- space group = Amm2

a b c (Å): 11.037 3.094 5.356
angles (deg): 90.00 90.00 90.00
Sites, in units of the cell vectors:
Er 0.136 0.000 0.000
Er 0.136 0.500 0.500
Er 0.864 0.000 0.000
Er 0.864 0.500 0.500
W 0.379 0.000 0.335
W 0.379 0.500 0.835
W 0.621 0.000 0.335
W 0.621 0.500 0.835
N 0.000 0.000 0.333
N 0.000 0.500 0.833
N 0.500 0.000 0.002
N 0.500 0.500 0.502



[5]
The following is a DFT calculation (PBE) of a geometry-optimized Mg2GeBr2 structure.

Values from the calculation:
- E_form (uncorrected) (eV/atom) = -0.10
- space group = P4/mbm
- ΔE to the lowest computed polymorph (meV/atom) = 50

a b c (Å): 8.450 8.450 3.497
angles (deg): 90.00 90.00 90.00
Sites, in units of the cell vectors:
Mg 0.191 0.309 0.000
Mg 0.309 0.809 0.000
Mg 0.691 0.191 0.000
Mg 0.809 0.691 0.000
Ge 0.000 0.000 0.500
Ge 0.500 0.500 0.500
Br 0.134 0.634 0.500
Br 0.366 0.134 0.500
Br 0.634 0.866 0.500
Br 0.866 0.366 0.500



[6]
The following is a DFT calculation (PBE) of a geometry-optimized KNp2Cu2Se6 structure.

Values from the calculation:
- E_form (uncorrected) (eV/atom) = -0.78
- space group = P-1

a b c (Å): 7.360 7.507 7.629
angles (deg): 63.07 63.05 61.05
Sites, in units of the cell vectors:
K 0.000 0.000 0.000
Np 0.330 0.331 0.006
Np 0.670 0.669 0.994
Cu 0.445 0.682 0.567
Cu 0.555 0.318 0.433
Se 0.085 0.686 0.756
Se 0.303 0.549 0.243
Se 0.462 0.076 0.758
Se 0.538 0.924 0.242
Se 0.697 0.451 0.757
Se 0.915 0.314 0.244



[7]
The following is a DFT calculation (PBE) of a geometry-optimized AlSb structure.

Values from the calculation:
- E_form (uncorrected) (eV/atom) = 0.08
- space group = P4/nmm

a b c (Å): 3.845 3.845 6.751
angles (deg): 90.00 90.00 90.00
Sites, in units of the cell vectors:
Al 0.250 0.250 0.134
Al 0.750 0.750 0.866
Sb 0.250 0.250 0.721
Sb 0.750 0.750 0.279



[8]
The following is a DFT calculation (PBE) of a geometry-optimized Sr2MoCl structure.

Values from the calculation:
- E_form (uncorrected) (eV/atom) = 0.33
- space group = R3m
- ΔE to the lowest computed polymorph (meV/atom) = 424

a b c (Å): 3.921 3.921 32.319
angles (deg): 90.00 90.00 120.00
Sites, in units of the cell vectors:
Sr 0.000 0.000 0.000
Sr 0.000 0.000 0.220
Sr 0.333 0.667 0.667
Sr 0.333 0.667 0.887
Sr 0.667 0.333 0.333
Sr 0.667 0.333 0.554
Mo 0.000 0.000 0.478
Mo 0.333 0.667 0.145
Mo 0.667 0.333 0.811
Cl 0.000 0.000 0.724
Cl 0.333 0.667 0.390
Cl 0.667 0.333 0.057



[9]
The following is a DFT calculation (PBE) of a geometry-optimized Sr2BeCd structure.

Values from the calculation:
- ΔH_f (0 K) (kJ/mol of formula units) = 165
- space group = I-42d
- ΔE to the lowest computed polymorph (meV/atom) = 355

a b c (Å): 8.677 8.677 7.440
angles (deg): 90.00 90.00 90.00
Sites, in units of the cell vectors:
Sr 0.216 0.250 0.125
Sr 0.250 0.716 0.375
Sr 0.250 0.784 0.875
Sr 0.284 0.250 0.625
Sr 0.716 0.750 0.625
Sr 0.750 0.216 0.875
Sr 0.750 0.284 0.375
Sr 0.784 0.750 0.125
Be 0.000 0.000 0.000
Be 0.000 0.500 0.250
Be 0.500 0.000 0.750
Be 0.500 0.500 0.500
Cd 0.000 0.000 0.500
Cd 0.000 0.500 0.750
Cd 0.500 0.000 0.250
Cd 0.500 0.500 0.000



[10]
The following is a DFT calculation (PBE) of a geometry-optimized LaReP3 structure.

Values from the calculation:
- ΔH_f (0 K) (kJ/mol of formula units) = -121
- space group = Pm-3m
- ΔE to the lowest computed polymorph (meV/atom) = 0

a b c (Å): 4.698 4.698 4.698
angles (deg): 90.00 90.00 90.00
Sites, in units of the cell vectors:
La 0.000 0.000 0.000
Re 0.500 0.500 0.500
P 0.000 0.500 0.500
P 0.500 0.000 0.500
P 0.500 0.500 0.000



[11]
The following is a DFT calculation (PBE) of a geometry-optimized Li3Lu3Te2O12 structure.

Values from the calculation:
- E_form (uncorrected) (eV/atom) = -2.36
- space group = Ia-3d

a b c (Å): 10.600 10.600 10.600
angles (deg): 109.47 109.47 109.47
Sites, in units of the cell vectors:
Li 0.125 0.750 0.875
Li 0.125 0.875 0.250
Li 0.250 0.125 0.875
Li 0.250 0.625 0.375
Li 0.375 0.250 0.625
Li 0.375 0.625 0.750
Li 0.625 0.375 0.250
Li 0.625 0.750 0.375
Li 0.750 0.375 0.625
Li 0.750 0.875 0.125
Li 0.875 0.125 0.750
Li 0.875 0.250 0.125
Lu 0.125 0.250 0.375
Lu 0.125 0.375 0.750
Lu 0.250 0.375 0.125
Lu 0.250 0.875 0.625
Lu 0.375 0.125 0.250
Lu 0.375 0.750 0.125
Lu 0.625 0.250 0.875
Lu 0.625 0.875 0.750
Lu 0.750 0.125 0.375
Lu 0.750 0.625 0.875
Lu 0.875 0.625 0.250
Lu 0.875 0.750 0.625
Te 0.000 0.000 0.000
Te 0.000 0.000 0.500
Te 0.000 0.500 0.000
Te 0.000 0.500 0.500
Te 0.500 0.000 0.000
Te 0.500 0.000 0.500
Te 0.500 0.500 0.000
Te 0.500 0.500 0.500
O 0.030 0.203 0.123
O 0.030 0.327 0.907
O 0.080 0.703 0.673
O 0.080 0.877 0.407
O 0.093 0.623 0.420
O 0.093 0.970 0.673
O 0.123 0.030 0.203
O 0.123 0.593 0.920
O 0.173 0.203 0.580
O 0.173 0.470 0.593
O 0.203 0.123 0.030
O 0.203 0.580 0.173
O 0.297 0.327 0.920
O 0.297 0.470 0.377
O 0.327 0.907 0.030
O 0.327 0.920 0.297
O 0.377 0.297 0.470
O 0.377 0.580 0.907
O 0.407 0.080 0.877
O 0.407 0.827 0.530
O 0.420 0.093 0.623
O 0.420 0.827 0.797
O 0.470 0.377 0.297
O 0.470 0.593 0.173
O 0.530 0.407 0.827
O 0.530 0.623 0.703
O 0.580 0.173 0.203
O 0.580 0.907 0.377
O 0.593 0.173 0.470
O 0.593 0.920 0.123
O 0.623 0.420 0.093
O 0.623 0.703 0.530
O 0.673 0.080 0.703
O 0.673 0.093 0.970
O 0.703 0.530 0.623
O 0.703 0.673 0.080
O 0.797 0.420 0.827
O 0.797 0.877 0.970
O 0.827 0.530 0.407
O 0.827 0.797 0.420
O 0.877 0.407 0.080
O 0.877 0.970 0.797
O 0.907 0.030 0.327
O 0.907 0.377 0.580
O 0.920 0.123 0.593
O 0.920 0.297 0.327
O 0.970 0.673 0.093
O 0.970 0.797 0.877



[12]
The following is a DFT calculation (PBE) of a geometry-optimized Cs2MgAlBr6 structure.

Values from the calculation:
- E_form (uncorrected) (eV/atom) = -1.36
- space group = I4/mmm

a b c (Å): 7.741 7.741 7.741
angles (deg): 120.07 120.07 89.88
Sites, in units of the cell vectors:
Cs 0.250 0.750 0.500
Cs 0.750 0.250 0.500
Mg 0.000 0.000 0.000
Al 0.500 0.500 0.000
Br 0.252 0.252 0.000
Br 0.252 0.252 0.504
Br 0.252 0.748 0.000
Br 0.748 0.252 0.000
Br 0.748 0.748 0.000
Br 0.748 0.748 0.496



[13]
The following is a DFT calculation (PBE) of a geometry-optimized Be2WBr structure.

Values from the calculation:
- E_form (uncorrected) (eV/atom) = 0.63
- space group = Cmmm
- ΔE to the lowest computed polymorph (meV/atom) = 243

a b c (Å): 3.359 4.658 7.626
angles (deg): 90.00 90.00 90.00
Sites, in units of the cell vectors:
Be 0.000 0.000 0.227
Be 0.000 0.000 0.773
Be 0.500 0.500 0.227
Be 0.500 0.500 0.773
W 0.000 0.500 0.000
W 0.500 0.000 0.000
Br 0.000 0.500 0.500
Br 0.500 0.000 0.500



[14]
The following is a DFT calculation (PBE) of a geometry-optimized Cu2IrBr structure.

Values from the calculation:
- E_form (uncorrected) (eV/atom) = 0.72
- space group = I-42d
- ΔE to the lowest computed polymorph (meV/atom) = 320

a b c (Å): 7.053 7.053 5.171
angles (deg): 90.00 90.00 90.00
Sites, in units of the cell vectors:
Cu 0.248 0.250 0.125
Cu 0.250 0.748 0.375
Cu 0.250 0.752 0.875
Cu 0.252 0.250 0.625
Cu 0.748 0.750 0.625
Cu 0.750 0.248 0.875
Cu 0.750 0.252 0.375
Cu 0.752 0.750 0.125
Ir 0.000 0.000 0.000
Ir 0.000 0.500 0.250
Ir 0.500 0.000 0.750
Ir 0.500 0.500 0.500
Br 0.000 0.000 0.500
Br 0.000 0.500 0.750
Br 0.500 0.000 0.250
Br 0.500 0.500 0.000



[15]
The following is a DFT calculation (PBE) of a geometry-optimized GaSn2Au3 structure.

Values from the calculation:
- ΔH_f (0 K) (kJ/mol of formula units) = -72
- space group = Fmmm

a b c (Å): 8.861 8.852 4.029
angles (deg): 76.96 76.74 26.30
Sites, in units of the cell vectors:
Ga 0.000 0.000 0.000
Sn 0.331 0.331 0.669
Sn 0.669 0.669 0.331
Au 0.158 0.158 0.842
Au 0.500 0.500 0.500
Au 0.842 0.842 0.158



[16]
The following is a DFT calculation (PBE) of a geometry-optimized ScTiTcF2 structure.

Values from the calculation:
- E_form (uncorrected) (eV/atom) = -1.22
- space group = P4/mmm

a b c (Å): 3.794 3.794 6.852
angles (deg): 90.00 90.00 90.00
Sites, in units of the cell vectors:
Sc 0.000 0.000 0.000
Ti 0.000 0.000 0.500
Tc 0.500 0.500 0.500
F 0.000 0.500 0.000
F 0.500 0.000 0.000



[17]
The following is a DFT calculation (PBE) of a geometry-optimized YSeBr structure.

Values from the calculation:
- E_form (uncorrected) (eV/atom) = -1.05
- space group = F-43m

a b c (Å): 7.001 7.001 7.001
angles (deg): 90.00 90.00 90.00
Sites, in units of the cell vectors:
Y 0.000 0.000 0.000
Y 0.000 0.500 0.500
Y 0.500 0.000 0.500
Y 0.500 0.500 0.000
Se 0.250 0.250 0.750
Se 0.250 0.750 0.250
Se 0.750 0.250 0.250
Se 0.750 0.750 0.750
Br 0.000 0.000 0.500
Br 0.000 0.500 0.000
Br 0.500 0.000 0.000
Br 0.500 0.500 0.500



[18]
The following is a DFT calculation (PBE) of a geometry-optimized ScPaS3 structure.

Values from the calculation:
- E_form (uncorrected) (eV/atom) = -1.74
- space group = Pnma
- ΔE to the lowest computed polymorph (meV/atom) = 0

a b c (Å): 7.209 3.806 14.413
angles (deg): 90.00 90.00 90.00
Sites, in units of the cell vectors:
Sc 0.235 0.250 0.045
Sc 0.265 0.750 0.545
Sc 0.735 0.250 0.455
Sc 0.765 0.750 0.955
Pa 0.133 0.750 0.296
Pa 0.367 0.250 0.796
Pa 0.633 0.750 0.204
Pa 0.867 0.250 0.704
S 0.011 0.750 0.105
S 0.129 0.250 0.439
S 0.148 0.750 0.720
S 0.352 0.250 0.220
S 0.371 0.750 0.939
S 0.489 0.250 0.605
S 0.511 0.750 0.395
S 0.629 0.250 0.061
S 0.648 0.750 0.780
S 0.852 0.250 0.280
S 0.871 0.750 0.561
S 0.989 0.250 0.895



[19]
The following is a DFT calculation (PBE) of a geometry-optimized CdMo3 structure.

Values from the calculation:
- ΔH_f (0 K) (kJ/mol of formula units) = 168
- space group = Pmmn
- ΔE to the lowest computed polymorph (meV/atom) = 217

a b c (Å): 4.603 5.748 5.108
angles (deg): 90.00 90.00 90.00
Sites, in units of the cell vectors:
Cd 0.250 0.250 0.155
Cd 0.750 0.750 0.845
Mo 0.250 0.014 0.655
Mo 0.250 0.486 0.655
Mo 0.250 0.750 0.198
Mo 0.750 0.250 0.802
Mo 0.750 0.514 0.345
Mo 0.750 0.986 0.345



Number 1: calculated total energy -0.1717 Ha/atom. Number 2: calculated total energy -0.0761 Ha/atom. Number 3: calculated total energy -0.2138 Ha/atom. Number 4: calculated total energy -0.3214 Ha/atom. Number 5: calculated total energy -0.0856 Ha/atom. Number 6: calculated total energy -0.2162 Ha/atom. Number 7: calculated total energy -0.1415 Ha/atom. Number 8: calculated total energy -0.1354 Ha/atom. Number 9: calculated total energy -0.0579 Ha/atom. Number 10: calculated total energy -0.2562 Ha/atom. Number 11: calculated total energy -0.2430 Ha/atom. Number 12: calculated total energy -0.1127 Ha/atom. Number 13: calculated total energy -0.1797 Ha/atom. Number 14: calculated total energy -0.1457 Ha/atom. Number 15: calculated total energy -0.1323 Ha/atom. Number 16: calculated total energy -0.2530 Ha/atom. Number 17: calculated total energy -0.1808 Ha/atom. Number 18: calculated total energy -0.2714 Ha/atom. Number 19: calculated total energy -0.2909 Ha/atom.